## P
VASP calculation (PBE) on a relaxed structure of MnTe2RuN.

Output
* crystal system: tetragonal
* total magnetization: 0.88 μB per atom

Cell: 5.4621 5.4621 3.6452 Å, 90.00 90.00 90.00°
Closest atoms and distances in Å follow each position.
Atoms (fractional coordinates):
Ru 0.0000 0.0000 0.0000  2 N 1.82
Te 0.0000 0.5000 0.0000  2 Ru 2.73
Te 0.5000 0.0000 0.0000  2 Ru 2.73
Mn 0.5000 0.5000 0.5000  8 Te 3.28, 2 Mn 3.65
N 0.0000 0.0000 0.5000  2 Ru 1.82

***

## Q
VASP calculation (PBE) on a relaxed structure of MnTe2RuN.

Output
* crystal system: tetragonal
* total magnetization: 0.13 μB per atom

Cell: 5.1356 5.1356 3.4029 Å, 90.00 90.00 90.00°
Closest atoms and distances in Å follow each position.
Atoms (fractional coordinates):
Ru 0.5000 0.5000 0.5000  8 Te 3.08, 2 Ru 3.40
Te 0.0000 0.5000 0.0000  2 Mn 2.57
Te 0.5000 0.0000 0.0000  2 Mn 2.57
Mn 0.0000 0.0000 0.0000  2 N 1.70
N 0.0000 0.0000 0.5000  2 Mn 1.70

***

P takes first place; second place is 0.093 eV/atom up.

***

## P
VASP calculation (PBE) on a relaxed structure of MnS2N.

Output
* crystal system: triclinic
* total magnetization: 0.35 μB per atom

Cell: 2.6278 3.5002 7.4923 Å, 88.88 82.65 67.94°
Closest atoms and distances in Å follow each position.
Atoms (fractional coordinates):
Mn 0.4882 0.7378 0.8600  3 N 1.94-1.96, 1 S 2.12
S 0.7731 0.3645 0.5899  1 N 1.69
S 0.3789 0.7451 0.1449  1 Mn 2.12
N 0.8072 0.1483 0.7941  1 S 1.69

***

## Q
VASP calculation (PBE) on a relaxed structure of MnS2N.

Output
* crystal system: trigonal
* total magnetization: 0.46 μB per atom

Cell: 5.9414 5.9414 5.9414 Å, 33.00 33.00 33.00°
Closest atoms and distances in Å follow each position.
Atoms (fractional coordinates):
S 0.9070 0.9070 0.9070  1 N 1.57
S 0.0930 0.0930 0.0930  1 N 1.57
Mn 0.5000 0.5000 0.5000  6 S 2.31
N 0.0000 0.0000 0.0000  2 S 1.57

***

## R
VASP calculation (PBE) on a relaxed structure of MnS2N.

Output
* crystal system: tetragonal
* total magnetization: 0.50 μB per atom

Cell: 4.8949 4.8949 6.0147 Å, 65.99 65.99 90.00°
Closest atoms and distances in Å follow each position.
Atoms (fractional coordinates):
S 0.6097 0.1250 0.2500  2 N 2.08, 2 Mn 2.17
S 0.1403 0.6250 0.2500  2 N 2.08, 2 Mn 2.17
S 0.3750 0.3903 0.7500  2 N 2.08, 2 Mn 2.17
S 0.8750 0.8597 0.7500  2 N 2.08, 2 Mn 2.17
Mn 0.0000 0.0000 0.0000  4 S 2.17
Mn 0.7500 0.2500 0.5000  4 S 2.17
N 0.5000 0.5000 0.0000  4 S 2.08
N 0.2500 0.7500 0.5000  4 S 2.08

***

## S
VASP calculation (PBE) on a relaxed structure of MnS2N.

Output
* crystal system: triclinic
* total magnetization: 0.50 μB per atom

Cell: 3.3010 3.6005 6.1545 Å, 97.25 100.09 100.19°
Closest atoms and distances in Å follow each position.
Atoms (fractional coordinates):
Mn 0.8432 0.4622 0.1838  2 N 1.84-1.98
S 0.5408 0.7685 0.4462  1 N 1.63
S 0.2306 0.3938 0.9286  2 Mn 2.21-2.29
N 0.7745 0.9908 0.2735  1 S 1.63

***

S takes first place; second place is 0.120 eV/atom up.

***

## P
VASP calculation (PBE) on a relaxed structure of MnS2N.

Output
* crystal system: triclinic
* total magnetization: 0.61 μB per atom

Cell: 3.1668 3.1668 7.5593 Å, 78.37 78.12 59.98°
Closest atoms and distances in Å follow each position.
Atoms (fractional coordinates):
Mn 0.6635 0.3633 0.0751  3 N 1.90
S 0.1674 0.8576 0.5647  1 S 1.93
S 0.0794 0.7743 0.8278  1 S 1.93
N 0.3074 0.0085 0.1434  3 Mn 1.90

***

## Q
VASP calculation (PBE) on a relaxed structure of MnS2N.

Output
* crystal system: cubic
* total magnetization: 0.00 μB per atom

Cell: 3.9978 3.9978 3.9978 Å, 60.00 60.00 60.00°
Closest atoms and distances in Å follow each position.
Atoms (fractional coordinates):
S 0.2500 0.2500 0.2500  4 N 2.45, 4 Mn 2.45
S 0.7500 0.7500 0.7500  4 N 2.45, 4 Mn 2.45
Mn 0.5000 0.5000 0.5000  8 S 2.45
N 0.0000 0.0000 0.0000  8 S 2.45

***

P takes first place; second place is 1.089 eV/atom up.

***

## P
VASP calculation (PBE) on a relaxed structure of MnS2N.

Output
* crystal system: orthorhombic
* total magnetization: 0.34 μB per atom

Cell: 3.0780 2.6357 14.6812 Å, 90.00 96.02 90.00°
Closest atoms and distances in Å follow each position.
Atoms (fractional coordinates):
Mn 0.3483 0.2500 0.6967  6 S 2.32-2.33
Mn 0.6517 0.7500 0.3033  6 S 2.32-2.33
S 0.1902 0.2500 0.3805  4 Mn 2.32
S 0.8098 0.7500 0.6195  4 Mn 2.32
S 0.9084 0.2500 0.8167  2 N 1.66
S 0.0916 0.7500 0.1833  2 N 1.66
N 0.0569 0.2500 0.1137  2 S 1.66
N 0.9431 0.7500 0.8863  2 S 1.66

***

## Q
VASP calculation (PBE) on a relaxed structure of MnS2N.

Output
* crystal system: trigonal
* total magnetization: 0.00 μB per atom

Cell: 7.0273 7.0273 7.0273 Å, 24.63 24.63 24.63°
Closest atoms and distances in Å follow each position.
Atoms (fractional coordinates):
S 0.8990 0.8990 0.8990  1 Mn 2.06, 3 N 2.19
S 0.1010 0.1010 0.1010  1 Mn 2.06, 3 N 2.19
Mn 0.0000 0.0000 0.0000  2 S 2.06
N 0.5000 0.5000 0.5000  6 S 2.19

***

P takes first place; second place is 0.992 eV/atom up.

***

## P
VASP calculation (PBE) on a relaxed structure of MnS2N.

Output
* crystal system: triclinic
* total magnetization: 0.72 μB per atom

Cell: 3.0951 3.1139 7.7539 Å, 84.48 89.00 58.97°
Closest atoms and distances in Å follow each position.
Atoms (fractional coordinates):
Mn 0.9531 0.6881 0.0790  3 N 2.08, 3 S 2.29-2.31
S 0.3183 0.9169 0.4248  1 N 1.60
S 0.6005 0.4110 0.8902  3 Mn 2.29-2.31
N 0.2960 0.9796 0.2170  1 S 1.60

***

## Q
VASP calculation (PBE) on a relaxed structure of MnS2N.

Output
* crystal system: monoclinic
* total magnetization: 0.71 μB per atom

Cell: 6.5191 2.9633 7.5746 Å, 90.00 103.81 90.00°
Closest atoms and distances in Å follow each position.
Atoms (fractional coordinates):
Mn 0.9070 0.0000 0.9708  2 N 1.95
Mn 0.9070 0.5000 0.4708  2 N 1.95
S 0.6281 0.0000 0.6974  1 N 1.57
S 0.6281 0.5000 0.1974  1 N 1.57
S 0.1037 0.0000 0.3457  2 Mn 2.31
S 0.1037 0.5000 0.8457  2 Mn 2.31
N 0.7503 0.0000 0.5423  1 S 1.57
N 0.7503 0.5000 0.0423  1 S 1.57

***

P takes first place; second place is 0.065 eV/atom up.

***

## P
VASP calculation (PBE) on a relaxed structure of MnSN2.

Output
* crystal system: tetragonal
* total magnetization: 0.00 μB per atom

Cell: 4.8930 4.8930 5.3340 Å, 62.70 62.70 90.00°
Closest atoms and distances in Å follow each position.
Atoms (fractional coordinates):
S 0.5000 0.5000 0.0000  4 N 2.30
S 0.2500 0.7500 0.5000  4 N 2.30
Mn 0.0000 0.0000 0.0000  4 N 1.77
Mn 0.7500 0.2500 0.5000  4 N 1.77
N 0.7139 0.1250 0.2500  2 Mn 1.77
N 0.0361 0.6250 0.2500  2 Mn 1.77
N 0.3750 0.2861 0.7500  2 Mn 1.77
N 0.8750 0.9639 0.7500  2 Mn 1.77

***

## Q
VASP calculation (PBE) on a relaxed structure of MnSN2.

Output
* crystal system: trigonal
* total magnetization: 0.68 μB per atom

Cell: 5.9499 5.9499 5.9499 Å, 28.53 28.53 28.53°
Closest atoms and distances in Å follow each position.
Atoms (fractional coordinates):
S 0.0000 0.0000 0.0000  2 N 1.81
Mn 0.5000 0.5000 0.5000  6 N 1.99
N 0.8944 0.8944 0.8944  1 S 1.81, 3 Mn 1.99
N 0.1056 0.1056 0.1056  1 S 1.81, 3 Mn 1.99

***

## R
VASP calculation (PBE) on a relaxed structure of MnSN2.

Output
* crystal system: trigonal
* total magnetization: 0.71 μB per atom

Cell: 6.1018 6.1018 6.1018 Å, 27.02 27.02 27.02°
Closest atoms and distances in Å follow each position.
Atoms (fractional coordinates):
S 0.5000 0.5000 0.5000  6 N 1.95
Mn 0.0000 0.0000 0.0000  2 N 1.90
N 0.8922 0.8922 0.8922  1 Mn 1.90, 3 S 1.95
N 0.1078 0.1078 0.1078  1 Mn 1.90, 3 S 1.95

***

## S
VASP calculation (PBE) on a relaxed structure of MnSN2.

Output
* crystal system: cubic
* total magnetization: 0.00 μB per atom

Cell: 3.6652 3.6652 3.6652 Å, 60.00 60.00 60.00°
Closest atoms and distances in Å follow each position.
Atoms (fractional coordinates):
S 0.0000 0.0000 0.0000  8 N 2.24
Mn 0.5000 0.5000 0.5000  8 N 2.24
N 0.2500 0.2500 0.2500  4 Mn 2.24, 4 S 2.24
N 0.7500 0.7500 0.7500  4 S 2.24, 4 Mn 2.24

***

Q takes first place; second place is 0.397 eV/atom up.

***

## P
VASP calculation (PBE) on a relaxed structure of MnSbSN2.

Output
* crystal system: tetragonal
* total magnetization: 0.12 μB per atom

Cell: 3.7563 3.7563 4.8082 Å, 90.00 90.00 90.00°
Closest atoms and distances in Å follow each position.
Atoms (fractional coordinates):
Sb 0.5000 0.5000 0.5000  4 S 2.66
S 0.0000 0.0000 0.5000  2 Mn 2.40, 4 Sb 2.66
Mn 0.0000 0.0000 0.0000  4 N 1.88
N 0.0000 0.5000 0.0000  2 Mn 1.88
N 0.5000 0.0000 0.0000  2 Mn 1.88

***

## Q
VASP calculation (PBE) on a relaxed structure of MnSbSN2.

Output
* crystal system: tetragonal
* total magnetization: 1.12 μB per atom

Cell: 3.9438 3.9438 5.4321 Å, 90.00 90.00 90.00°
Closest atoms and distances in Å follow each position.
Atoms (fractional coordinates):
Sb 0.0000 0.0000 0.0000  4 N 1.97
S 0.0000 0.0000 0.5000  2 Sb 2.72, 4 Mn 2.79
Mn 0.5000 0.5000 0.5000  4 S 2.79
N 0.0000 0.5000 0.0000  2 Sb 1.97
N 0.5000 0.0000 0.0000  2 Sb 1.97

***

P takes first place; second place is 0.452 eV/atom up.

***

## P
VASP calculation (PBE) on a relaxed structure of MnSbS2N.

Output
* crystal system: tetragonal
* total magnetization: 1.06 μB per atom

Cell: 5.0727 5.0727 3.8872 Å, 90.00 90.00 90.00°
Closest atoms and distances in Å follow each position.
Atoms (fractional coordinates):
Sb 0.0000 0.0000 0.0000  2 N 1.94
S 0.0000 0.5000 0.0000  2 Sb 2.54
S 0.5000 0.0000 0.0000  2 Sb 2.54
Mn 0.5000 0.5000 0.5000  8 S 3.20
N 0.0000 0.0000 0.5000  2 Sb 1.94

***

## Q
VASP calculation (PBE) on a relaxed structure of MnSbS2N.

Output
* crystal system: tetragonal
* total magnetization: 0.42 μB per atom

Cell: 4.8181 4.8181 3.5373 Å, 90.00 90.00 90.00°
Closest atoms and distances in Å follow each position.
Atoms (fractional coordinates):
Sb 0.5000 0.5000 0.5000  8 S 2.99
S 0.0000 0.5000 0.0000  2 Mn 2.41
S 0.5000 0.0000 0.0000  2 Mn 2.41
Mn 0.0000 0.0000 0.0000  2 N 1.77
N 0.0000 0.0000 0.5000  2 Mn 1.77

***

Q takes first place; second place is 0.675 eV/atom up.

***

## P
VASP calculation (PBE) on a relaxed structure of ScMnS2N.

Output
* crystal system: tetragonal
* total magnetization: 0.60 μB per atom

Cell: 4.9599 4.9599 4.0897 Å, 90.00 90.00 90.00°
Closest atoms and distances in Å follow each position.
Atoms (fractional coordinates):
Sc 0.0000 0.0000 0.0000  2 N 2.04
S 0.0000 0.5000 0.0000  2 Sc 2.48
S 0.5000 0.0000 0.0000  2 Sc 2.48
Mn 0.5000 0.5000 0.5000  8 S 3.21, 4 N 3.51
N 0.0000 0.0000 0.5000  2 Sc 2.04

***

## Q
VASP calculation (PBE) on a relaxed structure of ScMnS2N.

Output
* crystal system: tetragonal
* total magnetization: 0.27 μB per atom

Cell: 4.6631 4.6631 3.4963 Å, 90.00 90.00 90.00°
Closest atoms and distances in Å follow each position.
Atoms (fractional coordinates):
Sc 0.5000 0.5000 0.5000  8 S 2.91
S 0.0000 0.5000 0.0000  2 Mn 2.33
S 0.5000 0.0000 0.0000  2 Mn 2.33
Mn 0.0000 0.0000 0.0000  2 N 1.75
N 0.0000 0.0000 0.5000  2 Mn 1.75

***

Q takes first place; second place is 0.609 eV/atom up.

***

## P
VASP calculation (PBE) on a relaxed structure of MnSiS2N.

Output
* crystal system: tetragonal
* total magnetization: 0.36 μB per atom

Cell: 4.6903 4.6903 3.4828 Å, 90.00 90.00 90.00°
Closest atoms and distances in Å follow each position.
Atoms (fractional coordinates):
S 0.0000 0.5000 0.0000  2 Mn 2.35
S 0.5000 0.0000 0.0000  2 Mn 2.35
Mn 0.0000 0.0000 0.0000  2 N 1.74
Si 0.5000 0.5000 0.5000  8 S 2.92
N 0.0000 0.0000 0.5000  2 Mn 1.74

***

## Q
VASP calculation (PBE) on a relaxed structure of MnSiS2N.

Output
* crystal system: tetragonal
* total magnetization: 0.95 μB per atom

Cell: 4.7879 4.7879 3.3118 Å, 90.00 90.00 90.00°
Closest atoms and distances in Å follow each position.
Atoms (fractional coordinates):
S 0.0000 0.5000 0.0000  2 Si 2.39
S 0.5000 0.0000 0.0000  2 Si 2.39
Mn 0.5000 0.5000 0.5000  8 S 2.91
Si 0.0000 0.0000 0.0000  2 N 1.66
N 0.0000 0.0000 0.5000  2 Si 1.66

***

Q takes first place; second place is 0.151 eV/atom up.

***

## P
VASP calculation (PBE) on a relaxed structure of MnSnS2N.

Output
* crystal system: tetragonal
* total magnetization: 1.24 μB per atom

Cell: 5.0808 5.0808 4.0011 Å, 90.00 90.00 90.00°
Closest atoms and distances in Å follow each position.
Atoms (fractional coordinates):
S 0.0000 0.5000 0.0000  2 Sn 2.54
S 0.5000 0.0000 0.0000  2 Sn 2.54
Mn 0.5000 0.5000 0.5000  8 S 3.23, 4 N 3.59
Sn 0.0000 0.0000 0.0000  2 N 2.00
N 0.0000 0.0000 0.5000  2 Sn 2.00

***

## Q
VASP calculation (PBE) on a relaxed structure of MnSnS2N.

Output
* crystal system: tetragonal
* total magnetization: 0.37 μB per atom

Cell: 4.8016 4.8016 3.5372 Å, 90.00 90.00 90.00°
Closest atoms and distances in Å follow each position.
Atoms (fractional coordinates):
S 0.0000 0.5000 0.0000  2 Mn 2.40
S 0.5000 0.0000 0.0000  2 Mn 2.40
Mn 0.0000 0.0000 0.0000  2 N 1.77
Sn 0.5000 0.5000 0.5000  8 S 2.98
N 0.0000 0.0000 0.5000  2 Mn 1.77

***

Q takes first place; second place is 0.774 eV/atom up.

***

## P
VASP calculation (PBE) on a relaxed structure of SrMnS2N.

Output
* crystal system: tetragonal
* total magnetization: 0.39 μB per atom

Cell: 4.9067 4.9067 3.6348 Å, 90.00 90.00 90.00°
Closest atoms and distances in Å follow each position.
Atoms (fractional coordinates):
Sr 0.5000 0.5000 0.5000  8 S 3.05
S 0.0000 0.5000 0.0000  2 Mn 2.45
S 0.5000 0.0000 0.0000  2 Mn 2.45
Mn 0.0000 0.0000 0.0000  2 N 1.82
N 0.0000 0.0000 0.5000  2 Mn 1.82

***

## Q
VASP calculation (PBE) on a relaxed structure of SrMnS2N.

Output
* crystal system: tetragonal
* total magnetization: 0.41 μB per atom

Cell: 5.5392 5.5392 4.7314 Å, 90.00 90.00 90.00°
Closest atoms and distances in Å follow each position.
Atoms (fractional coordinates):
Sr 0.0000 0.0000 0.0000  2 N 2.37
S 0.0000 0.5000 0.0000  2 Sr 2.77
S 0.5000 0.0000 0.0000  2 Sr 2.77
Mn 0.5000 0.5000 0.5000  8 S 3.64, 4 N 3.92
N 0.0000 0.0000 0.5000  2 Sr 2.37

***

P takes first place; second place is 1.680 eV/atom up.